(1)
Density functional theory data (PBE-GGA) for an optimized crystal structure of ReAgIr.

```
ReAgIr
1.0
-1.391 1.938 4.349
1.391 -1.938 4.349
1.391 1.938 -4.349
Re Ag Ir
1 1 1
direct
0.000 0.000 0.000
0.683 0.683 0.000
0.366 0.366 0.000
```

Output
DFT total energy   -7.6971 eV per atom
Energy relative to the elements   0.356 eV/atom
Distance to the lowest polymorph of the same formula   143 meV per atom
N(E_F)   1.60 states/eV/f.u.

(2)
Density functional theory data (PBE-GGA) for an optimized crystal structure of Ac6Ge3TeSe2.

```
Ac6Ge3TeSe2
1.0
10.064 -2.303 0.000
10.064 2.303 0.000
-2.152 0.000 9.005
Ac Ge Te Se
6 3 1 2
direct
0.002 0.002 0.234
0.327 0.327 0.422
0.336 0.336 0.910
0.664 0.664 0.090
0.673 0.673 0.578
0.998 0.998 0.766
0.166 0.166 0.332
0.500 0.500 0.000
0.834 0.834 0.668
0.500 0.500 0.500
0.168 0.168 0.834
0.832 0.832 0.166
```

Output
DFT total energy   -5.3507 eV per atom
Raw formation energy   -15.6 eV/f.u.
N(E_F)   4.20 states/eV/f.u.

(3)
Density functional theory data (PBE-GGA) for an optimized crystal structure of MnBAs2Br.

```
MnBAs2Br
1.0
4.297 0.000 0.000
0.000 4.297 0.000
0.000 0.000 4.685
Mn B As Br
1 1 2 1
direct
0.000 0.000 0.000
0.500 0.500 0.500
0.000 0.500 0.500
0.500 0.000 0.500
0.500 0.500 0.000
```

Output
DFT total energy   -4.0804 eV per atom
Raw formation energy   6.4 eV/f.u.
Distance to the lowest polymorph of the same formula   161 meV per atom
N(E_F)   4.74 states/eV/f.u.

(4)
Density functional theory data (PBE-GGA) for an optimized crystal structure of Si23Ag3.

```
Si23Ag3
1.0
10.177 0.000 0.000
0.000 10.177 0.000
0.000 0.000 10.177
Si Ag
46 6
direct
0.000 0.116 0.310
0.000 0.116 0.690
0.000 0.250 0.500
0.000 0.750 0.500
0.000 0.884 0.310
0.000 0.884 0.690
0.116 0.310 0.000
0.116 0.690 0.000
0.184 0.184 0.184
0.184 0.184 0.816
0.184 0.816 0.184
0.184 0.816 0.816
0.190 0.384 0.500
0.190 0.616 0.500
0.250 0.500 0.000
0.310 0.000 0.116
0.310 0.000 0.884
0.316 0.316 0.316
0.316 0.316 0.684
0.316 0.684 0.316
0.316 0.684 0.684
0.384 0.500 0.190
0.384 0.500 0.810
0.500 0.000 0.250
0.500 0.000 0.750
0.500 0.190 0.384
0.500 0.190 0.616
0.500 0.810 0.384
0.500 0.810 0.616
0.616 0.500 0.190
0.616 0.500 0.810
0.684 0.316 0.316
0.684 0.316 0.684
0.684 0.684 0.316
0.684 0.684 0.684
0.690 0.000 0.116
0.690 0.000 0.884
0.750 0.500 0.000
0.810 0.384 0.500
0.810 0.616 0.500
0.816 0.184 0.184
0.816 0.184 0.816
0.816 0.816 0.184
0.816 0.816 0.816
0.884 0.310 0.000
0.884 0.690 0.000
0.000 0.500 0.250
0.000 0.500 0.750
0.250 0.000 0.500
0.500 0.250 0.000
0.500 0.750 0.000
0.750 0.000 0.500
```

Output
DFT total energy   -4.9390 eV per atom
Raw formation energy   4.9 eV/f.u.
N(E_F)   7.01 states/eV/f.u.

(5)
Density functional theory data (PBE-GGA) for an optimized crystal structure of Pu2CdBi5.

```
Pu2CdBi5
1.0
6.812 0.000 0.000
0.000 13.648 0.000
0.000 0.000 4.970
Pu Cd Bi
4 2 10
direct
0.204 0.137 0.000
0.296 0.637 0.000
0.704 0.363 0.000
0.796 0.863 0.000
0.000 0.500 0.500
0.500 0.000 0.500
0.000 0.000 0.500
0.040 0.742 0.500
0.211 0.389 0.000
0.289 0.889 0.000
0.460 0.242 0.500
0.500 0.500 0.500
0.540 0.758 0.500
0.711 0.111 0.000
0.789 0.611 0.000
0.960 0.258 0.500
```

Output
DFT total energy   -6.3695 eV per atom
Energy relative to the elements   -0.247 eV/atom
N(E_F)   21.95 states/eV/f.u.

(6)
Density functional theory data (PBE-GGA) for an optimized crystal structure of SrLaSi2.

```
SrLaSi2
1.0
2.376 -2.623 0.000
2.376 2.623 0.000
0.000 0.000 8.784
Sr La Si
1 1 2
direct
0.000 0.000 0.000
0.500 0.500 0.407
0.000 0.000 0.640
0.500 0.500 0.745
```

Output
DFT total energy   -4.4881 eV per atom
Raw formation energy   -0.5 eV/f.u.
Distance to the lowest polymorph of the same formula   456 meV per atom
N(E_F)   2.66 states/eV/f.u.

(7)
Density functional theory data (PBE-GGA) for an optimized crystal structure of CuBiAu3.

```
CuBiAu3
1.0
5.387 0.000 0.000
0.000 5.387 0.000
0.000 0.000 5.387
Cu Bi Au
1 1 3
direct
0.000 0.000 0.000
0.500 0.500 0.500
0.000 0.500 0.500
0.500 0.000 0.500
0.500 0.500 0.000
```

Output
DFT total energy   -2.6311 eV per atom
Energy relative to the elements   0.931 eV/atom
Distance to the lowest polymorph of the same formula   860 meV per atom
N(E_F)   4.43 states/eV/f.u.

(8)
Density functional theory data (PBE-GGA) for an optimized crystal structure of LiAlP.

```
LiAlP
1.0
0.000 2.928 2.928
2.928 0.000 2.928
2.928 2.928 0.000
Li Al P
1 1 1
direct
0.000 0.000 0.000
0.500 0.500 0.500
0.250 0.250 0.250
```

Output
DFT total energy   -3.9328 eV per atom
Energy relative to the elements   -0.244 eV/atom
N(E_F)   2.31 states/eV/f.u.

(9)
Density functional theory data (PBE-GGA) for an optimized crystal structure of Sr2ScBr.

```
Sr2ScBr
1.0
0.000 4.253 4.253
4.253 0.000 4.253
4.253 4.253 0.000
Sr Sc Br
2 1 1
direct
0.000 0.000 0.000
0.250 0.250 0.250
0.500 0.500 0.500
0.750 0.750 0.750
```

Output
DFT total energy   -2.7078 eV per atom
Raw formation energy   0.5 eV/f.u.
Distance to the lowest polymorph of the same formula   661 meV per atom
N(E_F)   5.64 states/eV/f.u.

(10)
Density functional theory data (PBE-GGA) for an optimized crystal structure of OsC3F.

```
OsC3F
1.0
3.586 0.000 0.000
0.000 3.586 0.000
0.000 0.000 3.586
Os C F
1 3 1
direct
0.000 0.000 0.000
0.000 0.500 0.500
0.500 0.000 0.500
0.500 0.500 0.000
0.500 0.500 0.500
```

Output
DFT total energy   -4.9920 eV per atom
Raw formation energy   15.8 eV/f.u.
Distance to the lowest polymorph of the same formula   1592 meV per atom
N(E_F)   3.02 states/eV/f.u.

(11)
Density functional theory data (PBE-GGA) for an optimized crystal structure of NiOsBr2.

```
NiOsBr2
1.0
0.000 3.343 3.343
3.343 0.000 3.343
3.343 3.343 0.000
Ni Os Br
1 1 2
direct
0.000 0.000 0.000
0.750 0.750 0.750
0.250 0.250 0.250
0.500 0.500 0.500
```

Output
DFT total energy   -3.5538 eV per atom
Raw formation energy   6.1 eV/f.u.
Distance to the lowest polymorph of the same formula   1088 meV per atom
N(E_F)   3.94 states/eV/f.u.

(12)
Density functional theory data (PBE-GGA) for an optimized crystal structure of TiTeAs2H.

```
TiTeAs2H
1.0
4.024 0.000 0.000
0.000 4.024 0.000
0.000 0.000 5.385
Ti Te As H
1 1 2 1
direct
0.000 0.000 0.000
0.500 0.500 0.000
0.000 0.500 0.500
0.500 0.000 0.500
0.500 0.500 0.500
```

Output
DFT total energy   -4.4145 eV per atom
N(E_F)   3.21 states/eV/f.u.